(1)
{"formula": "Dy2SiSbRh6", "functional": "GGA-PBE", "state": "relaxed", "cell": [[6.116, 0.026, 0.006], [-0.041, 7.272, 0.813], [3.024, 4.186, 5.135]], "species": ["Rh", "Rh", "Rh", "Rh", "Rh", "Rh", "Si", "Sb", "Dy", "Dy"], "fractional_positions": [[0.743, 0.258, 0.068], [0.188, 0.259, 0.068], [0.743, 0.815, 0.514], [0.257, 0.185, 0.486], [0.812, 0.741, 0.932], [0.257, 0.742, 0.932], [0.500, 0.500, 0.000], [0.000, 0.000, 0.000], [0.236, 0.765, 0.527], [0.764, 0.235, 0.473]], "spacegroup": "P-1"}



(2)
{"formula": "Tb3Ho4Sc2", "functional": "GGA-PBE", "state": "relaxed", "cell": [[-3.508, 0.419, 5.630], [-10.761, -3.829, 0.775], [-4.028, -9.271, 5.375]], "species": ["Ho", "Ho", "Ho", "Ho", "Ho", "Ho", "Ho", "Ho", "Tb", "Tb", "Tb", "Tb", "Tb", "Tb", "Sc", "Sc", "Sc", "Sc"], "fractional_positions": [[0.026, 0.812, 0.566], [0.482, 0.833, 0.199], [0.518, 0.167, 0.801], [0.018, 0.801, 0.167], [0.982, 0.199, 0.833], [0.474, 0.434, 0.188], [0.974, 0.188, 0.434], [0.526, 0.566, 0.812], [0.750, 0.490, 0.510], [0.935, 0.105, 0.199], [0.435, 0.199, 0.105], [0.565, 0.801, 0.895], [0.250, 0.510, 0.490], [0.065, 0.895, 0.801], [0.054, 0.453, 0.879], [0.946, 0.547, 0.121], [0.446, 0.121, 0.547], [0.554, 0.879, 0.453]], "polymorph_energy_mev_per_atom": 0.0, "spacegroup": "C2/c"}



(3)
{"formula": "Mg2CrRh", "functional": "GGA-PBE", "state": "relaxed", "cell": [[-4.127, -0.575, -3.339], [-4.628, -2.462, -1.017], [-3.761, 2.555, 1.265]], "species": ["Rh", "Mg", "Mg", "Cr"], "fractional_positions": [[0.486, 0.486, 0.464], [0.228, 0.228, 0.310], [0.009, 0.009, 0.961], [0.777, 0.777, 0.766]], "polymorph_energy_mev_per_atom": 50.9, "spacegroup": "Cm"}



(4)
{"formula": "Th5Bi4Os", "functional": "GGA-PBE", "state": "relaxed", "cell": [[6.451, 0.000, 0.000], [3.225, 7.132, 0.000], [3.225, 0.000, 7.132]], "species": ["Os", "Th", "Th", "Th", "Th", "Th", "Bi", "Bi", "Bi", "Bi"], "fractional_positions": [[0.001, 0.000, 0.000], [0.907, 0.354, 0.834], [0.741, 0.166, 0.354], [0.261, 0.834, 0.646], [0.095, 0.646, 0.166], [0.501, 0.000, 0.000], [0.190, 0.227, 0.396], [0.812, 0.773, 0.604], [0.416, 0.396, 0.773], [0.586, 0.604, 0.227]], "spacegroup": "I4/m"}



(5)
{"formula": "Er5Bi", "functional": "GGA-PBE", "state": "relaxed", "cell": [[-2.112, -0.027, 4.409], [4.079, -1.655, 1.944], [0.252, 7.811, 0.168]], "species": ["Er", "Er", "Er", "Er", "Er", "Bi"], "fractional_positions": [[0.500, 0.829, 0.657], [0.000, 0.664, 0.328], [0.500, 0.500, 0.000], [0.500, 0.171, 0.343], [0.000, 0.336, 0.672], [0.000, 0.000, 0.000]], "spacegroup": "Cmmm"}



(6)
{"formula": "PrZn3Ni8", "functional": "GGA-PBE", "state": "relaxed", "cell": [[-1.902, 4.447, 0.129], [-2.897, -3.874, 0.101], [0.374, -0.072, 7.998]], "species": ["Ni", "Ni", "Ni", "Ni", "Ni", "Ni", "Ni", "Ni", "Zn", "Zn", "Zn", "Pr"], "fractional_positions": [[0.669, 0.834, 0.242], [0.166, 0.834, 0.242], [0.333, 0.667, 0.499], [0.996, 0.498, 0.768], [0.502, 0.004, 0.768], [0.333, 0.667, 0.003], [0.166, 0.331, 0.242], [0.502, 0.498, 0.768], [0.667, 0.333, 0.383], [0.000, 0.000, 0.963], [0.667, 0.333, 0.050], [0.000, 0.000, 0.571]], "spacegroup": "P3m1"}



(7)
{"formula": "ScInAg2F", "functional": "GGA-PBE", "state": "relaxed", "cell": [[-1.175, 4.858, 1.550], [-3.097, 0.888, -5.131], [-4.341, -1.787, 2.311]], "species": ["F", "Ag", "Ag", "Sc", "In"], "fractional_positions": [[0.500, 0.500, 0.500], [0.500, 0.000, 0.000], [0.000, 0.000, 0.500], [0.000, 0.000, 0.000], [0.000, 0.500, 0.000]], "spacegroup": "P4/mmm"}



(8)
{"formula": "Ce2CdNi3Ge4", "functional": "GGA-PBE", "state": "relaxed", "cell": [[4.195, 0.000, 0.000], [0.000, 4.195, 0.000], [0.000, 0.000, 10.131]], "species": ["Ge", "Ge", "Ge", "Ge", "Ce", "Ce", "Cd", "Ni", "Ni", "Ni"], "fractional_positions": [[0.000, 0.000, 0.000], [0.500, 0.000, 0.655], [0.000, 0.500, 0.345], [0.500, 0.500, 0.000], [0.500, 0.000, 0.235], [0.000, 0.500, 0.765], [0.500, 0.500, 0.500], [0.000, 0.500, 0.115], [0.000, 0.000, 0.500], [0.500, 0.000, 0.885]], "spacegroup": "P-4m2"}



Number 1: total energy -6.814 eV per atom. Number 2: total energy -4.883 eV per atom. Number 3: total energy -5.047 eV per atom. Number 4: total energy -6.928 eV per atom. Number 5: total energy -4.667 eV per atom. Number 6: total energy -4.692 eV per atom. Number 7: total energy -2.859 eV per atom. Number 8: total energy -5.442 eV per atom.